Entry from the Alexandria database: PrSmGd2 after structural relaxation (PBE).

Results
Energy above the most stable polymorph in this dataset ... 0.003 eV per atom
Calculated volume ... 135 Å³/cell
ΔE_f ... 2.0 kJ per mole of atoms
E_tot ... -9.39 eV per atom

Lattice parameters (Å, degrees): 3.632 3.632 10.230 90.00 90.00 90.00
Atoms (fractional coordinates):
Pr: 0.000 0.000 0.000
Sm: 0.000 0.000 0.500
Gd: 0.500 0.500 0.253
Gd: 0.500 0.500 0.747